Entry 1:
First-principles (PBE) data for a geometry-optimized Li2Np3CuS6 structure, as listed in Alexandria.

Calculated values
- V: 19.83 Å³/atom
- Formation energy without anion corrections: -1.1703 eV/atom
- M_tot: 24.0 Bohr magnetons per cell

Structure (CIF):
```
data_Li2Np3CuS6
_cell_length_a 6.805
_cell_length_b 11.796
_cell_length_c 6.342
_cell_angle_alpha 90.00
_cell_angle_beta 110.82
_cell_angle_gamma 90.00
_space_group_name_H-M_alt 'C 1 2/m 1'
_space_group_IT_number 12
loop_
_space_group_symop_operation_xyz
'x,y,z'
'-x,-y,-z'
'-x,y,-z'
'x,-y,z'
'x+1/2,y+1/2,z'
'-x+1/2,-y+1/2,-z'
'-x+1/2,y+1/2,-z'
'x+1/2,-y+1/2,z'
loop_
_atom_site_label
_atom_site_fract_x
_atom_site_fract_y
_atom_site_fract_z
Li1 0.000 0.168 0.000
Np1 0.000 0.000 0.500
Np2 0.000 0.334 0.500
Cu1 0.000 0.500 0.000
S1 0.247 0.334 0.242
S2 0.248 0.000 0.241
```

=====

Entry 2:
First-principles (PBE) data for a geometry-optimized Li3Np2CuS6 structure, as listed in Alexandria.

Calculated values
- V: 19.03 Å³/atom
- Formation energy without anion corrections: -1.1508 eV/atom
- M_tot: 12.0 Bohr magnetons per cell

Structure (CIF):
```
data_Li3Np2CuS6
_cell_length_a 6.554
_cell_length_b 11.339
_cell_length_c 6.518
_cell_angle_alpha 90.00
_cell_angle_beta 109.49
_cell_angle_gamma 90.00
_space_group_name_H-M_alt 'C 1 2/m 1'
_space_group_IT_number 12
loop_
_space_group_symop_operation_xyz
'x,y,z'
'-x,-y,-z'
'-x,y,-z'
'x,-y,z'
'x+1/2,y+1/2,z'
'-x+1/2,-y+1/2,-z'
'-x+1/2,y+1/2,-z'
'x+1/2,-y+1/2,z'
loop_
_atom_site_label
_atom_site_fract_x
_atom_site_fract_y
_atom_site_fract_z
Li1 0.000 0.000 0.000
Li2 0.000 0.336 0.000
Np1 0.000 0.167 0.500
Cu1 0.000 0.500 0.500
S1 0.247 0.335 0.748
S2 0.248 0.500 0.252
```

=====

Entry 3:
First-principles (PBE) data for a geometry-optimized LiNpCuS3 structure, as listed in Alexandria.

Calculated values
- V: 18.72 Å³/atom
- Formation energy without anion corrections: -1.0187 eV/atom
- M_tot: 6.0 Bohr magnetons per cell

Structure (CIF):
```
data_LiNpCuS3
_cell_length_a 7.600
_cell_length_b 3.698
_cell_length_c 8.205
_cell_angle_alpha 90.00
_cell_angle_beta 102.98
_cell_angle_gamma 90.00
_space_group_name_H-M_alt 'P 1 21/m 1'
_space_group_IT_number 11
loop_
_space_group_symop_operation_xyz
'x,y,z'
'-x,-y,-z'
'-x,y+1/2,-z'
'x,-y+1/2,z'
loop_
_atom_site_label
_atom_site_fract_x
_atom_site_fract_y
_atom_site_fract_z
Li1 0.148 0.250 0.155
Np1 0.316 0.750 0.777
Cu1 0.404 0.750 0.410
S1 0.087 0.250 0.839
S2 0.266 0.250 0.501
S3 0.409 0.750 0.133
```

=====

Entry 4:
First-principles (PBE) data for a geometry-optimized Li3NpCu2S6 structure, as listed in Alexandria.

Calculated values
- V: 17.40 Å³/atom
- Formation energy without anion corrections: -0.8539 eV/atom
- M_tot: 2.5 Bohr magnetons per cell

Structure (CIF):
```
data_Li3NpCu2S6
_cell_length_a 6.607
_cell_length_b 10.252
_cell_length_c 6.693
_cell_angle_alpha 90.00
_cell_angle_beta 112.91
_cell_angle_gamma 90.00
_space_group_name_H-M_alt 'C 1 2/m 1'
_space_group_IT_number 12
loop_
_space_group_symop_operation_xyz
'x,y,z'
'-x,-y,-z'
'-x,y,-z'
'x,-y,z'
'x+1/2,y+1/2,z'
'-x+1/2,-y+1/2,-z'
'-x+1/2,y+1/2,-z'
'x+1/2,-y+1/2,z'
loop_
_atom_site_label
_atom_site_fract_x
_atom_site_fract_y
_atom_site_fract_z
Li1 0.000 0.000 0.000
Li2 0.000 0.342 0.000
Np1 0.000 0.500 0.500
Cu1 0.000 0.175 0.500
S1 0.225 0.000 0.705
S2 0.225 0.325 0.758
```

=====

Entry 5:
First-principles (PBE) data for a geometry-optimized Li2NpCuS4 structure, as listed in Alexandria.

Calculated values
- V: 18.11 Å³/atom
- Formation energy without anion corrections: -0.9997 eV/atom
- M_tot: 2.0 Bohr magnetons per cell

Structure (CIF):
```
data_Li2NpCuS4
_cell_length_a 6.057
_cell_length_b 3.864
_cell_length_c 6.476
_cell_angle_alpha 90.00
_cell_angle_beta 107.08
_cell_angle_gamma 90.00
_space_group_name_H-M_alt 'P 1 2/m 1'
_space_group_IT_number 10
loop_
_space_group_symop_operation_xyz
'x,y,z'
'-x,-y,-z'
'-x,y,-z'
'x,-y,z'
loop_
_atom_site_label
_atom_site_fract_x
_atom_site_fract_y
_atom_site_fract_z
Li1 0.000 0.000 0.000
Li2 0.500 0.500 0.000
Np1 0.000 0.500 0.500
Cu1 0.500 0.000 0.500
S1 0.248 0.500 0.247
S2 0.262 0.000 0.737
```

=====

Entry 6:
First-principles (PBE) data for a geometry-optimized LiNp2CuS4 structure, as listed in Alexandria.

Calculated values
- V: 21.10 Å³/atom
- Formation energy without anion corrections: -1.1333 eV/atom
- M_tot: 32.0 Bohr magnetons per cell

Structure (CIF):
```
data_LiNp2CuS4
_cell_length_a 3.887
_cell_length_b 12.737
_cell_length_c 13.638
_cell_angle_alpha 90.00
_cell_angle_beta 90.00
_cell_angle_gamma 90.00
_space_group_name_H-M_alt 'C m c m'
_space_group_IT_number 63
_space_group_name_Hall '-C 2c 2'
loop_
_atom_site_label
_atom_site_fract_x
_atom_site_fract_y
_atom_site_fract_z
Li1 0.000 0.115 0.250
Np1 0.000 0.366 0.065
Cu1 0.000 0.157 0.750
S1 0.000 0.000 0.000
S2 0.000 0.274 0.618
S3 0.000 0.449 0.250
```

=====

Entry 7:
First-principles (PBE) data for a geometry-optimized LiNpCuSe3 structure, as listed in Alexandria.

Calculated values
- V: 21.48 Å³/atom
- Formation energy without anion corrections: -0.8793 eV/atom
- M_tot: 6.0 Bohr magnetons per cell

Structure (CIF):
```
data_LiNpCuSe3
_cell_length_a 7.915
_cell_length_b 3.857
_cell_length_c 8.631
_cell_angle_alpha 90.00
_cell_angle_beta 101.88
_cell_angle_gamma 90.00
_space_group_name_H-M_alt 'P 1 21/m 1'
_space_group_IT_number 11
loop_
_space_group_symop_operation_xyz
'x,y,z'
'-x,-y,-z'
'-x,y+1/2,-z'
'x,-y+1/2,z'
loop_
_atom_site_label
_atom_site_fract_x
_atom_site_fract_y
_atom_site_fract_z
Li1 0.151 0.250 0.157
Np1 0.320 0.750 0.770
Cu1 0.417 0.750 0.418
Se1 0.087 0.250 0.839
Se2 0.257 0.250 0.496
Se3 0.408 0.750 0.134
```

=====

Entry 8:
First-principles (PBE) data for a geometry-optimized Li2NpCu2Se4 structure, as listed in Alexandria.

Calculated values
- V: 20.74 Å³/atom
- Formation energy without anion corrections: -0.8242 eV/atom
- M_tot: 6.0 Bohr magnetons per cell

Structure (CIF):
```
data_Li2NpCu2Se4
_cell_length_a 14.619
_cell_length_b 3.927
_cell_length_c 7.591
_cell_angle_alpha 90.00
_cell_angle_beta 121.05
_cell_angle_gamma 90.00
_space_group_name_H-M_alt 'C 1 2/m 1'
_space_group_IT_number 12
loop_
_space_group_symop_operation_xyz
'x,y,z'
'-x,-y,-z'
'-x,y,-z'
'x,-y,z'
'x+1/2,y+1/2,z'
'-x+1/2,-y+1/2,-z'
'-x+1/2,y+1/2,-z'
'x+1/2,-y+1/2,z'
loop_
_atom_site_label
_atom_site_fract_x
_atom_site_fract_y
_atom_site_fract_z
Li1 0.134 0.000 0.068
Np1 0.000 0.000 0.500
Cu1 0.181 0.500 0.481
Se1 0.010 0.500 0.777
Se2 0.226 0.000 0.719
```

=====

no.,DFT total energy (eV/atom)
1,-7.130
2,-6.191
3,-6.241
4,-5.157
5,-5.671
6,-7.183
7,-5.780
8,-5.146